No. 1
Below is crystalline Pr4NdY15 at its relaxed geometry, with properties calculated at the PBE level.

Results
Uncorrected energy ... -120.44 eV per cell
E_form ... 0.02 eV/atom
Symmetry ... P4/mmm, No. 123

Lattice parameters (Å, degrees): 5.107 5.107 25.396 90.00 90.00 90.00
Fractional coordinates of all 20 atoms:
1 Pr 0.000 0.000 0.100
2 Pr 0.000 0.000 0.300
3 Pr 0.000 0.000 0.700
4 Pr 0.000 0.000 0.900
5 Nd 0.000 0.000 0.500
6 Y 0.000 0.500 0.000
7 Y 0.000 0.500 0.200
8 Y 0.000 0.500 0.400
9 Y 0.000 0.500 0.600
10 Y 0.000 0.500 0.800
11 Y 0.500 0.000 0.000
12 Y 0.500 0.000 0.200
13 Y 0.500 0.000 0.400
14 Y 0.500 0.000 0.600
15 Y 0.500 0.000 0.800
16 Y 0.500 0.500 0.100
17 Y 0.500 0.500 0.300
18 Y 0.500 0.500 0.500
19 Y 0.500 0.500 0.700
20 Y 0.500 0.500 0.900

No. 2
Below is crystalline PrNdY2 at its relaxed geometry, with properties calculated at the PBE level.

Results
Uncorrected energy ... -22.09 eV per cell
E_form ... 0.10 eV/atom
Symmetry ... Fm-3m, No. 225

Lattice parameters (Å, degrees): 5.783 5.783 5.783 60.00 60.00 60.00
Fractional coordinates of all 4 atoms:
1 Pr 0.000 0.000 0.000
2 Nd 0.500 0.500 0.500
3 Y 0.250 0.250 0.250
4 Y 0.750 0.750 0.750

No. 3
Below is crystalline PrNdY2 at its relaxed geometry, with properties calculated at the PBE level.

Results
Uncorrected energy ... -22.35 eV per cell
E_form ... 0.03 eV/atom
Symmetry ... Imm2, No. 44

Lattice parameters (Å, degrees): 6.902 6.902 6.902 149.01 64.50 124.97
Fractional coordinates of all 4 atoms:
1 Pr 0.000 0.000 0.000
2 Nd 0.501 0.001 0.500
3 Y 0.083 0.333 0.750
4 Y 0.583 0.333 0.250

No. 4
Below is crystalline PrNd2Y3 at its relaxed geometry, with properties calculated at the PBE level.

Results
Uncorrected energy ... -66.68 eV per cell
E_form ... 0.06 eV/atom
Symmetry ... C2/c, No. 15

Lattice parameters (Å, degrees): 6.758 6.758 9.101 97.66 97.66 95.35
Fractional coordinates of all 12 atoms:
1 Pr 0.086 0.914 0.750
2 Pr 0.914 0.086 0.250
3 Nd 0.129 0.624 0.374
4 Nd 0.376 0.871 0.126
5 Nd 0.624 0.129 0.874
6 Nd 0.871 0.376 0.626
7 Y 0.165 0.331 0.999
8 Y 0.331 0.165 0.499
9 Y 0.418 0.582 0.750
10 Y 0.582 0.418 0.250
11 Y 0.669 0.835 0.501
12 Y 0.835 0.669 0.001

No. 5
Below is crystalline PrNd6Y3 at its relaxed geometry, with properties calculated at the PBE level.

Results
Uncorrected energy ... -102.89 eV per cell
E_form ... 0.13 eV/atom
Symmetry ... Cmc2_1, No. 36

Lattice parameters (Å, degrees): 11.276 11.276 6.305 90.00 90.00 120.32
Fractional coordinates of all 20 atoms:
1 Pr 0.198 0.802 0.500
2 Pr 0.802 0.198 0.000
3 Nd 0.040 0.960 0.708
4 Nd 0.053 0.472 0.234
5 Nd 0.281 0.719 0.969
6 Nd 0.291 0.375 0.069
7 Nd 0.375 0.291 0.569
8 Nd 0.472 0.053 0.734
9 Nd 0.528 0.947 0.234
10 Nd 0.625 0.709 0.069
11 Nd 0.709 0.625 0.569
12 Nd 0.719 0.281 0.469
13 Nd 0.947 0.528 0.734
14 Nd 0.960 0.040 0.208
15 Y 0.058 0.285 0.645
16 Y 0.285 0.058 0.145
17 Y 0.385 0.615 0.529
18 Y 0.615 0.385 0.029
19 Y 0.715 0.942 0.645
20 Y 0.942 0.715 0.145

No. 6
Below is crystalline Pr5Nd2Y2 at its relaxed geometry, with properties calculated at the PBE level.

Results
Uncorrected energy ... -89.25 eV per cell
E_form ... 0.19 eV/atom
Symmetry ... Ima2, No. 46

Lattice parameters (Å, degrees): 10.303 10.303 10.303 85.21 108.09 140.62
Fractional coordinates of all 18 atoms:
1 Pr 0.248 0.053 0.300
2 Pr 0.248 0.447 0.695
3 Pr 0.402 0.028 0.087
4 Pr 0.402 0.815 0.874
5 Pr 0.457 0.443 0.514
6 Pr 0.752 0.553 0.305
7 Pr 0.752 0.947 0.700
8 Pr 0.929 0.943 0.486
9 Pr 0.941 0.315 0.913
10 Pr 0.941 0.528 0.126
11 Nd 0.324 0.324 0.000
12 Nd 0.324 0.824 0.500
13 Nd 0.374 0.627 0.247
14 Nd 0.381 0.127 0.753
15 Y 0.836 0.215 0.369
16 Y 0.836 0.967 0.120
17 Y 0.846 0.467 0.631
18 Y 0.846 0.715 0.880

No. 7
Below is crystalline PrNd7Y2 at its relaxed geometry, with properties calculated at the PBE level.

Results
Uncorrected energy ... -44.65 eV per cell
E_form ... 0.64 eV/atom
Symmetry ... Cmmm, No. 65

Lattice parameters (Å, degrees): 9.546 9.546 5.685 90.00 90.00 125.29
Fractional coordinates of all 10 atoms:
1 Pr 0.000 0.000 0.000
2 Nd 0.066 0.290 0.500
3 Nd 0.215 0.785 0.000
4 Nd 0.290 0.066 0.500
5 Nd 0.500 0.500 0.500
6 Nd 0.710 0.934 0.500
7 Nd 0.785 0.215 0.000
8 Nd 0.934 0.710 0.500
9 Y 0.293 0.707 0.500
10 Y 0.707 0.293 0.500

No. 8
Below is crystalline Pr7NdY12 at its relaxed geometry, with properties calculated at the PBE level.

Results
Uncorrected energy ... -111.27 eV per cell
E_form ... 0.23 eV/atom
Symmetry ... R-3, No. 148

Lattice parameters (Å, degrees): 8.897 8.897 8.897 86.09 86.09 86.09
Fractional coordinates of all 20 atoms:
1 Pr 0.000 0.000 0.000
2 Pr 0.103 0.344 0.424
3 Pr 0.344 0.424 0.103
4 Pr 0.424 0.103 0.344
5 Pr 0.576 0.897 0.656
6 Pr 0.656 0.576 0.897
7 Pr 0.897 0.656 0.576
8 Nd 0.500 0.500 0.500
9 Y 0.003 0.364 0.882
10 Y 0.118 0.997 0.636
11 Y 0.226 0.757 0.356
12 Y 0.243 0.644 0.774
13 Y 0.356 0.226 0.757
14 Y 0.364 0.882 0.003
15 Y 0.636 0.118 0.997
16 Y 0.644 0.774 0.243
17 Y 0.757 0.356 0.226
18 Y 0.774 0.243 0.644
19 Y 0.882 0.003 0.364
20 Y 0.997 0.636 0.118

No. 9
Below is crystalline PrNd4Y5 at its relaxed geometry, with properties calculated at the PBE level.

Results
Uncorrected energy ... -56.03 eV per cell
E_form ... 0.01 eV/atom
Symmetry ... P4/mmm, No. 123

Lattice parameters (Å, degrees): 3.644 3.644 25.442 90.00 90.00 90.00
Fractional coordinates of all 10 atoms:
1 Pr 0.000 0.000 0.000
2 Nd 0.000 0.000 0.200
3 Nd 0.000 0.000 0.400
4 Nd 0.000 0.000 0.600
5 Nd 0.000 0.000 0.800
6 Y 0.500 0.500 0.101
7 Y 0.500 0.500 0.300
8 Y 0.500 0.500 0.500
9 Y 0.500 0.500 0.700
10 Y 0.500 0.500 0.899

No. 10
Below is crystalline PrNd5Y4 at its relaxed geometry, with properties calculated at the PBE level.

Results
Uncorrected energy ... -51.76 eV per cell
E_form ... 0.27 eV/atom
Symmetry ... I4, No. 79

Lattice parameters (Å, degrees): 8.011 8.011 8.011 99.14 99.14 133.01
Fractional coordinates of all 10 atoms:
1 Pr 0.000 0.000 0.000
2 Nd 0.458 0.458 0.000
3 Nd 0.502 0.880 0.923
4 Nd 0.578 0.502 0.621
5 Nd 0.880 0.957 0.379
6 Nd 0.957 0.578 0.077
7 Y 0.188 0.887 0.615
8 Y 0.272 0.574 0.385
9 Y 0.574 0.188 0.301
10 Y 0.887 0.272 0.699

No. 11
Below is crystalline Pr2Nd3Y4 at its relaxed geometry, with properties calculated at the PBE level.

Results
Uncorrected energy ... -97.86 eV per cell
E_form ... 0.09 eV/atom
Symmetry ... C2/c, No. 15

Lattice parameters (Å, degrees): 10.252 10.252 6.207 96.03 96.03 70.97
Fractional coordinates of all 18 atoms:
1 Pr 0.019 0.760 0.712
2 Pr 0.240 0.981 0.788
3 Pr 0.760 0.019 0.212
4 Pr 0.981 0.240 0.288
5 Nd 0.130 0.870 0.250
6 Nd 0.191 0.482 0.409
7 Nd 0.482 0.191 0.909
8 Nd 0.518 0.809 0.091
9 Nd 0.809 0.518 0.591
10 Nd 0.870 0.130 0.750
11 Y 0.117 0.344 0.863
12 Y 0.328 0.555 0.962
13 Y 0.344 0.117 0.363
14 Y 0.445 0.672 0.538
15 Y 0.555 0.328 0.462
16 Y 0.656 0.883 0.637
17 Y 0.672 0.445 0.038
18 Y 0.883 0.656 0.137

No. 12
Below is crystalline PrNd2Y3 at its relaxed geometry, with properties calculated at the PBE level.

Results
Uncorrected energy ... -64.44 eV per cell
E_form ... 0.25 eV/atom
Symmetry ... Pnnm, No. 58

Lattice parameters (Å, degrees): 6.703 17.903 3.444 90.00 90.00 90.00
Fractional coordinates of all 12 atoms:
1 Pr 0.000 0.000 0.000
2 Pr 0.500 0.500 0.500
3 Nd 0.227 0.349 0.500
4 Nd 0.273 0.849 0.000
5 Nd 0.727 0.151 0.000
6 Nd 0.773 0.651 0.500
7 Y 0.000 0.500 0.000
8 Y 0.232 0.180 0.000
9 Y 0.268 0.680 0.500
10 Y 0.500 0.000 0.500
11 Y 0.732 0.320 0.500
12 Y 0.768 0.820 0.000

What did the sixth record say?
Below is crystalline Pr5Nd2Y2 at its relaxed geometry, with properties calculated at the PBE level.

Results
Uncorrected energy ... -89.25 eV per cell
E_form ... 0.19 eV/atom
Symmetry ... Ima2, No. 46

Lattice parameters (Å, degrees): 10.303 10.303 10.303 85.21 108.09 140.62
Fractional coordinates of all 18 atoms:
1 Pr 0.248 0.053 0.300
2 Pr 0.248 0.447 0.695
3 Pr 0.402 0.028 0.087
4 Pr 0.402 0.815 0.874
5 Pr 0.457 0.443 0.514
6 Pr 0.752 0.553 0.305
7 Pr 0.752 0.947 0.700
8 Pr 0.929 0.943 0.486
9 Pr 0.941 0.315 0.913
10 Pr 0.941 0.528 0.126
11 Nd 0.324 0.324 0.000
12 Nd 0.324 0.824 0.500
13 Nd 0.374 0.627 0.247
14 Nd 0.381 0.127 0.753
15 Y 0.836 0.215 0.369
16 Y 0.836 0.967 0.120
17 Y 0.846 0.467 0.631
18 Y 0.846 0.715 0.880

What is the E_form in the sixth record?
0.19 eV/atom

The highest E_form belongs to which entry?
PrNd7Y2

Look up the E_form of the tenth one.
0.27 eV/atom